KZnAu2 | PBE | relaxed Values from VASP.

Cell and atoms, written as Quantum ESPRESSO input:
```
&SYSTEM
  ibrav = 0, nat = 4, ntyp = 3
/
ATOMIC_SPECIES
K 39.10 K.upf
Zn 65.41 Zn.upf
Au 196.97 Au.upf
CELL_PARAMETERS angstrom
2.942 0.000 0.000
0.000 4.272 0.000
0.000 0.000 7.370
ATOMIC_POSITIONS angstrom
K 0.000 0.000 0.000
Zn 1.471 2.136 2.644
Au 0.000 0.000 3.359
Au 1.471 2.136 5.294
```

Summary:
* crystal system: orthorhombic
* density of states at the Fermi level: 1.3 states/eV per cell
* space group: Pmm2
* E_form: -0.30 eV per formula unit


Na2SnCl4 | PBE | relaxed Values from VASP.

Cell and atoms, written as Quantum ESPRESSO input:
```
&SYSTEM
  ibrav = 0, nat = 28, ntyp = 3
/
ATOMIC_SPECIES
Na 22.99 Na.upf
Sn 118.71 Sn.upf
Cl 35.45 Cl.upf
CELL_PARAMETERS angstrom
8.365 0.000 0.000
0.000 8.365 0.000
0.000 0.000 11.874
ATOMIC_POSITIONS angstrom
Na 0.000 2.033 0.000
Na 0.000 6.332 5.937
Na 2.033 0.000 8.906
Na 2.076 2.076 4.453
Na 2.076 6.289 1.484
Na 6.289 2.076 7.421
Na 6.289 6.289 10.390
Na 6.332 0.000 2.969
Sn 1.975 4.182 8.906
Sn 4.182 1.975 0.000
Sn 4.182 6.390 5.937
Sn 6.390 4.182 2.969
Cl 0.134 2.120 9.016
Cl 0.134 6.245 8.795
Cl 2.011 4.057 11.778
Cl 2.011 4.308 6.033
Cl 2.120 0.134 11.764
Cl 2.120 8.231 6.048
Cl 4.057 2.011 9.002
Cl 4.057 6.354 8.809
Cl 4.308 2.011 2.872
Cl 4.308 6.354 3.065
Cl 6.245 0.134 0.110
Cl 6.245 8.231 5.827
Cl 6.354 4.057 0.096
Cl 6.354 4.308 5.841
Cl 8.231 2.120 2.858
Cl 8.231 6.245 3.079
```

Summary:
* relative energy among the computed polymorphs: 0 meV/atom
* crystal system: tetragonal
* density of states at the Fermi level: 0.0 states/eV per cell
* space group: P4_122


BeTl2W | PBE | relaxed Values from VASP.

Cell and atoms, written as Quantum ESPRESSO input:
```
&SYSTEM
  ibrav = 0, nat = 8, ntyp = 3
/
ATOMIC_SPECIES
Be 9.01 Be.upf
Tl 204.38 Tl.upf
W 183.84 W.upf
CELL_PARAMETERS angstrom
3.261 0.000 0.000
0.000 5.211 0.000
0.000 0.000 9.038
ATOMIC_POSITIONS angstrom
Be 0.000 0.000 0.000
Be 1.631 2.606 0.000
Tl 0.000 2.606 2.072
Tl 0.000 2.606 6.966
Tl 1.631 0.000 2.072
Tl 1.631 0.000 6.966
W 0.000 0.000 4.519
W 1.631 2.606 4.519
```

Summary:
* relative energy among the computed polymorphs: 390 meV/atom
* crystal system: orthorhombic
* density of states at the Fermi level: 3.8 states/eV per cell
* space group: Cmmm
* E_form: 4.27 eV per formula unit


Fe3Co2Ir | PBE | relaxed Values from VASP.

Cell and atoms, written as Quantum ESPRESSO input:
```
&SYSTEM
  ibrav = 0, nat = 12, ntyp = 3
/
ATOMIC_SPECIES
Fe 55.84 Fe.upf
Co 58.93 Co.upf
Ir 192.22 Ir.upf
CELL_PARAMETERS angstrom
2.053 -6.150 0.000
2.053 6.150 0.000
0.000 0.000 5.851
ATOMIC_POSITIONS angstrom
Fe 0.000 0.000 1.405
Fe 0.000 0.000 4.446
Fe 2.053 2.005 1.375
Fe 2.053 2.005 4.476
Fe 2.053 -2.005 1.375
Fe 2.053 -2.005 4.476
Co 2.053 4.097 0.000
Co 2.053 0.000 0.000
Co 2.053 0.000 2.926
Co 2.053 -4.097 0.000
Ir 2.053 4.097 2.926
Ir 2.053 -4.097 2.926
```

Summary:
* crystal system: orthorhombic
* density of states at the Fermi level: 9.0 states/eV per cell
* space group: Cmmm
* E_form: -0.16 eV per formula unit


Which value of density of states at the Fermi level does entry 3 give?
3.8 states/eV per cell


What is the density of states at the Fermi level in the first record?
1.3 states/eV per cell


Which formula does entry 1 have?
KZnAu2